Record 1
This record from Alexandria describes a relaxed structure of ZnCu. The functional is GGA-PBE.

Values from the calculation:
Total moment: 0.000 μB per atom
V: 15.66 A^3/atom
Space group: P6_3/mmc
ΔE_f: 0.255 eV/atom
Final energy: -9.7 eV per cell

Lattice parameters (Å, degrees): 3.749 3.749 5.145 90.00 90.00 120.00
Element x y z (fractional)
Zn 0.000 0.000 0.000
Zn 0.000 0.000 0.500
Cu 0.333 0.667 0.250
Cu 0.667 0.333 0.750


Record 2
This record from Alexandria describes a relaxed structure of CeYOsBr. The functional is GGA-PBE.

Values from the calculation:
Total moment: 0.057 μB per atom
V: 27.20 A^3/atom
Space group: R3m
Final energy: -28.1 eV per cell
Formation energy without anion corrections: -273.4 kJ/mol of formula units

Lattice parameters (Å, degrees): 8.084 8.084 8.084 28.86 28.86 28.86
Element x y z (fractional)
Ce 0.000 0.000 0.000
Y 0.205 0.205 0.205
Os 0.608 0.608 0.608
Br 0.438 0.438 0.438


Record 3
This record from Alexandria describes a relaxed structure of BeMoPt. The functional is GGA-PBE.

Values from the calculation:
Total moment: 0.000 μB per atom
V: 13.14 A^3/atom
Space group: Cm
ΔE_f: -0.232 eV/atom
Final energy: -42.6 eV per cell
Relative energy among the computed polymorphs: 4.01 kcal/mol of atoms

Lattice parameters (Å, degrees): 5.739 5.739 4.606 101.50 101.50 32.09
Element x y z (fractional)
Be 0.000 0.000 0.000
Be 0.542 0.542 0.301
Mo 0.332 0.332 0.921
Mo 0.639 0.639 0.834
Pt 0.199 0.199 0.353
Pt 0.917 0.917 0.474


Record 4
This record from Alexandria describes a relaxed structure of Ce2ErC2. The functional is GGA-PBE.

Values from the calculation:
Total moment: 0.000 μB per atom
V: 20.13 A^3/atom
Space group: C2/m
ΔE_f: -0.145 eV/atom
Final energy: -71.2 eV per cell

Lattice parameters (Å, degrees): 6.268 6.268 7.180 107.81 107.81 49.29
Element x y z (fractional)
Ce 0.002 0.002 0.243
Ce 0.334 0.334 0.917
Ce 0.666 0.666 0.083
Ce 0.998 0.998 0.757
Er 0.341 0.341 0.410
Er 0.659 0.659 0.590
C 0.160 0.160 0.085
C 0.496 0.496 0.249
C 0.504 0.504 0.751
C 0.840 0.840 0.915


Record 5
This record from Alexandria describes a relaxed structure of CeTl2O2F2. The functional is GGA-PBE.

Values from the calculation:
Total moment: 0.000 μB per atom
V: 20.39 A^3/atom
Space group: I4/mmm
Final energy: -41.1 eV per cell
Formation energy without anion corrections: -1623.3 kJ/mol of formula units

Lattice parameters (Å, degrees): 7.925 7.925 7.925 147.56 147.56 46.53
Element x y z (fractional)
Ce 0.000 0.000 0.000
Tl 0.356 0.356 0.000
Tl 0.644 0.644 0.000
O 0.000 0.500 0.500
O 0.500 0.000 0.500
F 0.159 0.159 0.000
F 0.841 0.841 0.000


Record 6
This record from Alexandria describes a relaxed structure of Er2Tm3Pb3. The functional is GGA-PBE.

Values from the calculation:
Total moment: 0.000 μB per atom
V: 28.40 A^3/atom
Space group: P6_3/mcm
ΔE_f: -0.505 eV/atom
Final energy: -75.4 eV per cell
Relative energy among the computed polymorphs: 0.00 kcal/mol of atoms

Lattice parameters (Å, degrees): 8.954 8.954 6.545 90.00 90.00 120.00
Element x y z (fractional)
Er 0.333 0.667 0.000
Er 0.333 0.667 0.500
Er 0.667 0.333 0.000
Er 0.667 0.333 0.500
Tm 0.000 0.235 0.250
Tm 0.000 0.765 0.750
Tm 0.235 0.000 0.250
Tm 0.235 0.235 0.750
Tm 0.765 0.000 0.750
Tm 0.765 0.765 0.250
Pb 0.000 0.394 0.750
Pb 0.000 0.606 0.250
Pb 0.394 0.000 0.750
Pb 0.394 0.394 0.250
Pb 0.606 0.000 0.250
Pb 0.606 0.606 0.750


Record 7
This record from Alexandria describes a relaxed structure of Sm4Zn3In. The functional is GGA-PBE.

Values from the calculation:
Total moment: 0.000 μB per atom
V: 25.31 A^3/atom
Space group: Pmmm
ΔE_f: -0.344 eV/atom
Final energy: -28.2 eV per cell
Relative energy among the computed polymorphs: 0.00 kcal/mol of atoms

Lattice parameters (Å, degrees): 3.694 5.234 10.470 90.00 90.00 90.00
Element x y z (fractional)
Sm 0.000 0.000 0.000
Sm 0.000 0.000 0.500
Sm 0.000 0.500 0.239
Sm 0.000 0.500 0.761
Zn 0.500 0.000 0.248
Zn 0.500 0.000 0.752
Zn 0.500 0.500 0.000
In 0.500 0.500 0.500


Record 8
This record from Alexandria describes a relaxed structure of PmPd2Se. The functional is GGA-PBE.

Values from the calculation:
Total moment: 0.000 μB per atom
V: 20.54 A^3/atom
Space group: R-3m
Final energy: -21.2 eV per cell
Formation energy without anion corrections: -252.7 kJ/mol of formula units

Lattice parameters (Å, degrees): 5.307 5.307 5.307 50.55 50.55 50.55
Element x y z (fractional)
Pm 0.000 0.000 0.000
Pd 0.219 0.219 0.219
Pd 0.781 0.781 0.781
Se 0.500 0.500 0.500